# CSe3, relaxed, DFT PBE
# calculated volume	32.808	Å³/atom
# formation energy (no corrections)	0.61	eV/atom
data_CSe3
_space_group_name_H-M_alt 'P 1'
_space_group_IT_number 1
_space_group_name_Hall 'P 1'
_cell_length_a 4.9086
_cell_length_b 4.9978
_cell_length_c 6.0075
_cell_angle_alpha 74.34
_cell_angle_beta 75.14
_cell_angle_gamma 70.12
loop_
_atom_site_label
_atom_site_fract_x
_atom_site_fract_y
_atom_site_fract_z
Se1 0.2353 0.8276 0.7646
Se2 0.4881 0.0698 0.2016
C1 0.3783 0.8018 0.4532
Se3 0.3429 0.4216 0.5003